[1]
Material: Tb7Pm2Th3
Method: DFT, PBE
State: relaxed

POSCAR file:
```
Tb7Pm2Th3
1.0
5.5232 0.0014 -0.0003
0.0015 6.0610 -0.0932
-0.0009 -0.0952 12.2941
Tb Th Pm
7 3 2
direct
0.5000 0.9269 0.8293
0.5002 0.7620 0.5476
0.4998 0.2380 0.4524
0.9999 0.5577 0.8187
0.0000 0.0000 0.0000
0.0001 0.4423 0.1813
0.5000 0.0731 0.1707
0.0000 0.9283 0.3598
0.5000 0.5000 0.0000
0.0000 0.0717 0.6402
0.5001 0.6007 0.2775
0.4999 0.3993 0.7225
```

Properties
For the volume, the calculation gives 34.29 Å³/atom. For the density of states at the Fermi level, the calculation gives 19.0 states/eV per cell. The calculated density is 8.5 Mg/m³. The calculation puts the energy at -4.995 eV per atom.

---

[2]
Material: Tb6PmTh12
Method: DFT, PBE
State: relaxed

POSCAR file:
```
Tb6PmTh12
1.0
8.6485 -0.2412 -1.2656
-1.4292 8.5330 -1.2656
-0.2100 -0.2412 8.7381
Th Tb Pm
12 6 1
direct
0.2472 0.5000 0.7528
0.3506 0.0831 0.3506
0.7528 0.5000 0.2472
0.7528 0.2472 0.5000
0.5000 0.7528 0.2472
0.0831 0.3506 0.3506
0.5000 0.2472 0.7528
0.6494 0.6494 0.9169
0.9169 0.6494 0.6494
0.2472 0.7528 0.5000
0.3506 0.3506 0.0831
0.6494 0.9169 0.6494
0.9006 0.3401 0.9006
0.0994 0.6599 0.0994
0.3401 0.9006 0.9006
0.0994 0.0994 0.6599
0.9006 0.9006 0.3401
0.6599 0.0994 0.0994
0.0000 0.0000 0.0000
```

Properties
For the volume, the calculation gives 33.50 Å³/atom. For the density of states at the Fermi level, the calculation gives 30.2 states/eV per cell. The calculated density is 10.1 Mg/m³. The calculation puts the energy at -6.151 eV per atom.